The following is a DFT calculation (GGA-PBE) of a geometry-optimized Cs2CaTmI6 structure.

a b c (Å): 8.6599 8.6572 12.2516
angles (deg): 90.00 90.00 90.00
With the nearest neighbours (Å) after each atom.
Fractional positions:
Cs (0.5000, 0.7492, 0.2506)  12 I 4.32-4.34
Cs (0.0000, 0.2508, 0.7506)  12 I 4.32-4.34
Cs (0.5000, 0.7492, 0.7494)  12 I 4.32-4.34
Cs (0.0000, 0.2508, 0.2494)  12 I 4.32-4.34
Ca (0.0000, 0.7500, 0.5000)  6 I 3.11
Ca (0.5000, 0.2500, 0.0000)  6 I 3.11
Tm (0.5000, 0.2498, 0.5000)  6 I 3.01
Tm (0.0000, 0.7502, 0.0000)  6 I 3.01
I (0.5000, 0.2495, 0.2541)  1 Tm 3.01, 1 Ca 3.11
I (0.5000, 0.2495, 0.7459)  1 Tm 3.01, 1 Ca 3.11
I (0.0000, 0.7505, 0.2459)  1 Tm 3.01, 1 Ca 3.11
I (0.0000, 0.7505, 0.7541)  1 Tm 3.01, 1 Ca 3.11
I (0.2540, 0.0040, 0.5000)  1 Tm 3.01, 1 Ca 3.11
I (0.7460, 0.0040, 0.5000)  1 Tm 3.01, 1 Ca 3.11
I (0.2543, 0.4961, 0.5000)  1 Tm 3.01, 1 Ca 3.11
I (0.7457, 0.4961, 0.5000)  1 Tm 3.01, 1 Ca 3.11
I (0.7543, 0.5039, 0.0000)  1 Tm 3.01, 1 Ca 3.11
I (0.2457, 0.5039, 0.0000)  1 Tm 3.01, 1 Ca 3.11
I (0.2460, 0.9960, 0.0000)  1 Tm 3.01, 1 Ca 3.11
I (0.7540, 0.9960, 0.0000)  1 Tm 3.01, 1 Ca 3.11

Calculated values
total DFT energy (no corrections) = -3.1265 eV/atom
total magnetic moment = 1.14 μB/cell